Entry 1:
VASP calculation (PBE) on an optimized crystal structure of K4InSe.

abc: 10.051 10.051 10.051
angles: 90.00 90.00 90.00
Space group F-43m (No. 216)
Symmetry-distinct sites (fractional):
K1 0.123 0.123 0.123 x16
In1 0.000 0.000 0.500 x4
Se1 0.250 0.250 0.750 x4

Properties
Total magnetization ... 0.656 μB per formula unit
Energy relative to the elements, uncorrected ... 0.093 eV/atom
DFT total energy ... -1.676 eV/atom

***

Entry 2:
VASP calculation (PBE) on an optimized crystal structure of BaY2As.

abc: 4.793 4.793 10.512
angles: 90.00 90.00 90.00
Space group I4/mmm (No. 139)
Symmetry-distinct sites (fractional):
Ba1 0.000 0.000 0.000 x2
Y1 0.000 0.500 0.250 x4
As1 0.000 0.000 0.500 x2

Properties
Total magnetization ... 0.000 μB per formula unit
Formation enthalpy at 0 K ... -165 meV/atom
DFT total energy ... -5.040 eV/atom

***

Entry 3:
VASP calculation (PBE) on an optimized crystal structure of Ac2PuGe2.

abc: 8.204 12.594 6.314
angles: 90.00 90.00 90.00
Space group Ibam (No. 72)
Symmetry-distinct sites (fractional):
Ac1 0.149 0.144 0.000 x8
Pu1 0.000 0.500 0.250 x4
Ge1 0.244 0.113 0.500 x8

Properties
Total magnetization ... 5.929 μB per formula unit
Formation enthalpy at 0 K ... -505 meV/atom
DFT total energy ... -6.862 eV/atom

***

| no. | density (g/cm³) |
| --- | --- |
| 1 | 2.3 |
| 2 | 5.4 |
| 3 | 8.6 |